Density functional theory data (PBE-GGA) for an optimized crystal structure of Er2Zn2SnPd5.

Values from the calculation:
**DOS at the Fermi energy**: 8.8 states/eV per cell
**Calculated formation energy**: -701.5 kJ/mol of formula units
**Density**: 10.31 g/cm3
**SG**: P4/mbm

Cell: 9.709 9.709 3.813 Å, 90.00 90.00 90.00°
Element x y z (fractional)
1 Er 0.176 0.324 0.000
2 Er 0.324 0.824 0.000
3 Er 0.676 0.176 0.000
4 Er 0.824 0.676 0.000
5 Zn 0.120 0.620 0.000
6 Zn 0.380 0.120 0.000
7 Zn 0.620 0.880 0.000
8 Zn 0.880 0.380 0.000
9 Sn 0.000 0.000 0.000
10 Sn 0.500 0.500 0.000
11 Pd 0.000 0.500 0.500
12 Pd 0.069 0.792 0.500
13 Pd 0.208 0.069 0.500
14 Pd 0.292 0.569 0.500
15 Pd 0.431 0.292 0.500
16 Pd 0.500 0.000 0.500
17 Pd 0.569 0.708 0.500
18 Pd 0.708 0.431 0.500
19 Pd 0.792 0.931 0.500
20 Pd 0.931 0.208 0.500